RbCoTeO | GGA+U | relaxed

a = 4.1797 Å, b = 4.1797 Å, c = 11.3969 Å
α = 90.00°, β = 90.00°, γ = 90.00°
With the nearest neighbours (Å) after each atom.
Sites, in units of the cell vectors:
1 Rb 0.2500 0.7500 0.0000  4 Rb 2.96
2 Rb 0.7500 0.2500 0.0000  4 Rb 2.96
3 Co 0.2500 0.2500 0.4768  4 O 2.11
4 Co 0.7500 0.7500 0.5232  4 O 2.11
5 Te 0.2500 0.2500 0.2378  1 Co 2.72
6 Te 0.7500 0.7500 0.7622  1 Co 2.72
7 O 0.2500 0.7500 0.5000  4 Co 2.11
8 O 0.7500 0.2500 0.5000  4 Co 2.11

spin magnetization = 3.46 μB per formula unit
E_tot = -3.558 eV/atom
symmetry = P4/nmm, No. 129
energy above the lowest structure with this stoichiometry = 654 meV/atom
ρ = 4.80 g cm⁻³